Cr3B2, optimized geometry, DFT PBE; mass density = 6.46 g/cm3; E_tot = -43.88 eV/f.u.; density of states at the Fermi level = 4.94 states/eV/f.u.; SG = Immm, No. 71
1.0
2.936 0.000 0.000
1.468 4.077 0.139
1.468 1.331 3.857
Cr B
3 2
Cartesian
0.000 0.000 0.000
4.404 3.824 2.825
1.468 1.585 1.171
2.936 2.195 2.687
2.936 3.214 1.308